(1)
A plane-wave DFT calculation with PBE was carried out for Ba3PmNd2Te6 after structural relaxation.

The structure belongs to space group C2/m (No. 12); the cell edges are 8.077, 13.967 and 8.343 Å and the angles 90.00°, 108.81° and 90.00°. Symmetry generates all atoms from Ba at (0.000, 0.000, 0.000), Ba at (0.000, 0.333, 0.000), Pm at (0.000, 0.500, 0.500), Nd at (0.000, 0.166, 0.500), Te at (0.240, 0.334, 0.724) and Te at (0.243, 0.000, 0.725).

For the total moment, the calculation gives 0.0 μB/f.u. Its uncorrected formation energy is -1578 meV per atom. Its calculated total energy is -4.8205 eV/atom.

***

(2)
A plane-wave DFT calculation with PBE was carried out for Cs2NaAs2Pb after structural relaxation.

The structure belongs to space group Ibam (No. 72); the cell edges are 7.192, 16.985 and 7.209 Å and the angles 90.00°, 90.00° and 90.00°. Symmetry generates all atoms from Cs at (0.236, 0.175, 0.000), Na at (0.000, 0.000, 0.250), As at (0.234, 0.404, 0.000) and Pb at (0.000, 0.500, 0.250).

For the total moment, the calculation gives 0.0 μB/f.u. Its calculated total energy is -3.0527 eV/atom.

***

(3)
A plane-wave DFT calculation with PBE was carried out for MgTi3 after structural relaxation.

The structure belongs to space group P-6m2 (No. 187); the cell edges are 2.9569, 2.9569 and 9.6896 Å and the angles 90.00°, 90.00° and 120.00°. Symmetry generates all atoms from Mg at (0.0000, 0.0000, 0.0000), Ti at (0.0000, 0.0000, 0.5000) and Ti at (0.3333, 0.6667, 0.2674).

For the total moment, the calculation gives 0.0 μB/f.u. Its calculated total energy is -6.2333 eV/atom.

***

(4)
A plane-wave DFT calculation with PBE was carried out for Ba2Al2Fe after structural relaxation.

The structure belongs to space group P4/mbm (No. 127); the cell edges are 9.783, 9.783 and 3.528 Å and the angles 90.00°, 90.00° and 90.00°. Symmetry generates all atoms from Ba at (0.197, 0.303, 0.000), Al at (0.094, 0.594, 0.500) and Fe at (0.000, 0.000, 0.000).

For the total moment, the calculation gives 2.8 μB/f.u. Its excess energy over the best structure of this formula in the dataset is 0.0826 eV/atom. Its calculated total energy is -3.2799 eV/atom.

***

The calculated volume results, record by record, are as follows: 37.121, 36.691, 18.342, 33.762 Å³ per atom.